The following is a GGA-PBE calculation of an optimized crystal structure of RbBaP2W, from Alexandria.

Cell and atoms, written as POSCAR:
```
RbBaP2W
1.0
-4.8327 0.2412 0.7276
-0.8856 -2.6055 -5.0182
0.1198 -4.3499 2.2374
W Rb P Ba
1 1 2 1
Direct
0.0000 0.0000 0.0000 W
0.5000 0.5000 0.5000 Rb
0.5000 0.0000 0.0000 P
0.0000 0.0000 0.5000 P
0.0000 0.5000 0.0000 Ba
```

Results
Energy: -5.09 eV/atom
Spin magnetization: 0.00 Bohr magnetons per cell
Formation energy: 0.24 eV per atom

=====

The following is a GGA-PBE calculation of an optimized crystal structure of Sm2Er3In, from Alexandria.

Cell and atoms, written as POSCAR:
```
Sm2Er3In
1.0
-0.6320 1.1422 -4.7164
4.2386 -2.1127 -1.0797
-5.6740 -5.5063 -0.5732
Er Sm In
3 2 1
Direct
0.5000 0.5000 0.0000 Er
0.5000 0.1655 0.3310 Er
0.5000 0.8345 0.6690 Er
0.0000 0.3382 0.6765 Sm
0.0000 0.6618 0.3235 Sm
0.0000 0.0000 0.0000 In
```

Results
Energy: -4.46 eV/atom
Spin magnetization: 0.00 Bohr magnetons per cell
ΔE to the lowest computed polymorph: 0.00 kJ per mole of atoms
Formation energy: -0.15 eV per atom

=====

The following is a GGA-PBE calculation of an optimized crystal structure of KBa2Cr, from Alexandria.

Cell and atoms, written as POSCAR:
```
KBa2Cr
1.0
8.8423 0.0000 0.0000
0.0000 8.8423 0.0000
4.4211 4.4211 5.3541
Ba K Cr
4 2 2
Direct
0.8017 0.1250 0.2500 Ba
0.3750 0.1983 0.7500 Ba
0.8750 0.0517 0.7500 Ba
0.9483 0.6250 0.2500 Ba
0.5000 0.5000 0.0000 K
0.2500 0.7500 0.5000 K
0.7500 0.2500 0.5000 Cr
0.0000 0.0000 0.0000 Cr
```

Results
Energy: -2.49 eV/atom
Spin magnetization: 0.00 Bohr magnetons per cell
ΔE to the lowest computed polymorph: 68.58 kJ per mole of atoms
Formation energy: 1.15 eV per atom

=====

Question: The lowest formation energy belongs to which entry?
Answer: Sm2Er3In

=====

Question: Which value of spin magnetization does entry 3 give?
Answer: 0.00 Bohr magnetons per cell